1.
Computed, not measured: a geometry-optimized Dy2TlF8 structure at the PBE-GGA level of DFT.

Computed properties:
DOS at the Fermi energy = 0.308 states/eV/atom
formation energy from raw total energies = -3424 meV per atom
magnetic moment = 0.817 μB per formula unit

a b c (Å): 6.9699 10.2946 4.3158
angles (deg): 90.00 102.00 90.00
Closest atoms and distances in Å follow each position.
Space group C2/m (No. 12)
One atom of each set of equivalent atoms:
Dy1 0.0000 0.1806 0.0000  8 F 2.28-2.29
Tl1 0.0000 0.5000 0.5000  4 F 2.53-2.62
F1 0.0000 0.2539 0.5000  2 Dy 2.29, 1 Tl 2.53
F2 0.1193 0.0000 0.2883  2 Dy 2.29
F3 0.1924 0.3622 0.0785  2 Dy 2.28

---

2.
Computed, not measured: a geometry-optimized DyTl4F7 structure at the PBE-GGA level of DFT.

Computed properties:
DOS at the Fermi energy = 0.000 states/eV/atom
formation energy from raw total energies = -2545 meV per atom
magnetic moment = 0.000 μB per formula unit

a b c (Å): 19.8443 4.3624 6.6662
angles (deg): 90.00 107.61 90.00
Closest atoms and distances in Å follow each position.
Space group C2/m (No. 12)
One atom of each set of equivalent atoms:
Dy1 0.0000 0.0000 0.0000  6 F 2.18-2.19
Tl1 0.0944 0.5000 0.5777  3 F 2.54-2.83
Tl2 0.1983 0.5000 0.1632  3 F 2.57-2.66
F1 0.0000 0.5000 0.0000  2 Dy 2.18
F2 0.0809 0.0000 0.8370  1 Dy 2.19
F3 0.0854 0.0000 0.2996  1 Dy 2.19
F4 0.2225 0.5000 0.8055  4 Tl 2.54-2.66

---

3.
Computed, not measured: a geometry-optimized Dy2TlF7 structure at the PBE-GGA level of DFT.

Computed properties:
DOS at the Fermi energy = 0.000 states/eV/atom
formation energy from raw total energies = -3701 meV per atom
magnetic moment = 0.000 μB per formula unit

a b c (Å): 7.0845 11.4509 4.3870
angles (deg): 90.00 90.00 90.00
Closest atoms and distances in Å follow each position.
Space group Cmmm (No. 65)
One atom of each set of equivalent atoms:
Dy1 0.0000 0.1926 0.0000  7 F 2.20-2.28
Tl1 0.0000 0.5000 0.5000  10 F 3.06-3.39
F1 0.0000 0.0000 0.0000  2 Dy 2.21
F2 0.0000 0.2036 0.5000  2 Dy 2.20
F3 0.1889 0.3541 0.0000  2 Dy 2.27-2.28, 1 F 2.54

---

4.
Computed, not measured: a geometry-optimized DyTlF structure at the PBE-GGA level of DFT.

Computed properties:
DOS at the Fermi energy = 0.959 states/eV/atom
distance to the lowest polymorph of the same formula = 173 meV/atom
formation energy from raw total energies = -1515 meV per atom
magnetic moment = 0.006 μB per formula unit

a b c (Å): 3.3300 3.3300 11.9547
angles (deg): 90.00 90.00 90.00
Closest atoms and distances in Å follow each position.
Space group I4mm (No. 107)
One atom of each set of equivalent atoms:
Dy1 0.0000 0.0000 0.0000  4 F 2.41
Tl1 0.0000 0.0000 0.2795  1 F 3.17, 4 Tl 3.33, 5 Dy 3.34-3.53
F1 0.0000 0.0000 0.5449  4 Dy 2.41

---

5.
Computed, not measured: a geometry-optimized DyTlF structure at the PBE-GGA level of DFT.

Computed properties:
DOS at the Fermi energy = 0.559 states/eV/atom
distance to the lowest polymorph of the same formula = 0 meV/atom
formation energy from raw total energies = -1688 meV per atom
magnetic moment = 0.000 μB per formula unit

a b c (Å): 11.1938 14.3594 7.6854
angles (deg): 90.00 90.00 90.00
Closest atoms and distances in Å follow each position.
Space group Fdd2 (No. 43)
One atom of each set of equivalent atoms:
Dy1 0.0066 0.3095 0.0000  2 F 2.13-2.15
Tl1 0.0685 0.4020 0.3912  4 Dy 3.18-3.51, 3 Tl 3.20-3.48, 1 F 3.56
F1 0.0824 0.4238 0.8565  2 Dy 2.13-2.15

---

6.
Computed, not measured: a geometry-optimized DyTl5F8 structure at the PBE-GGA level of DFT.

Computed properties:
DOS at the Fermi energy = 0.000 states/eV/atom
formation energy from raw total energies = -2424 meV per atom
magnetic moment = 0.000 μB per formula unit

a b c (Å): 7.9371 7.9371 8.6859
angles (deg): 90.00 90.00 90.00
Closest atoms and distances in Å follow each position.
Space group I-4 (No. 82)
One atom of each set of equivalent atoms:
Dy1 0.0000 0.0000 0.0000  8 F 2.29-2.35
Tl1 0.0000 0.5000 0.7500  4 F 2.72
Tl2 0.1126 0.7640 0.3712  3 F 2.56-2.85
F1 0.0576 0.8364 0.7809  1 Dy 2.35
F2 0.0745 0.7345 0.0792  1 Dy 2.29, 1 Tl 2.56

---

Q: Among the records above, which one has the highest formation energy from raw total energies?
A: number 4

---

Q: formation energy from raw total energies of number 3 (Dy2TlF7)?
A: -3701 meV per atom

---

Please write out number 2 again, unchanged.
Computed, not measured: a geometry-optimized DyTl4F7 structure at the PBE-GGA level of DFT.

Computed properties:
DOS at the Fermi energy = 0.000 states/eV/atom
formation energy from raw total energies = -2545 meV per atom
magnetic moment = 0.000 μB per formula unit

a b c (Å): 19.8443 4.3624 6.6662
angles (deg): 90.00 107.61 90.00
Closest atoms and distances in Å follow each position.
Space group C2/m (No. 12)
One atom of each set of equivalent atoms:
Dy1 0.0000 0.0000 0.0000  6 F 2.18-2.19
Tl1 0.0944 0.5000 0.5777  3 F 2.54-2.83
Tl2 0.1983 0.5000 0.1632  3 F 2.57-2.66
F1 0.0000 0.5000 0.0000  2 Dy 2.18
F2 0.0809 0.0000 0.8370  1 Dy 2.19
F3 0.0854 0.0000 0.2996  1 Dy 2.19
F4 0.2225 0.5000 0.8055  4 Tl 2.54-2.66